A plane-wave DFT calculation with PBE was carried out for FePd3 after structural relaxation.

Space-group type: Pm-3m (221)
Calculated formation energy: -0.092 eV/atom

a b c (Å): 3.894 3.894 3.894
angles (deg): 90.00 90.00 90.00
Sites, in units of the cell vectors:
Fe  0.000  0.000  0.000
Pd  0.000  0.500  0.500
Pd  0.500  0.000  0.500
Pd  0.500  0.500  0.000

***

A plane-wave DFT calculation with PBE was carried out for K2TaTl after structural relaxation.

Space-group type: Imm2 (44)
Calculated formation energy: 0.939 eV/atom
ΔE to the lowest computed polymorph: 178 meV/atom

a b c (Å): 3.117 6.594 13.425
angles (deg): 90.00 90.00 90.00
Sites, in units of the cell vectors:
K  0.000  0.000  0.000
K  0.000  0.500  0.199
K  0.500  0.000  0.699
K  0.500  0.500  0.500
Ta  0.000  0.500  0.766
Ta  0.500  0.000  0.266
Tl  0.000  0.000  0.451
Tl  0.500  0.500  0.951

***

A plane-wave DFT calculation with PBE was carried out for Tb4TlSeS2 after structural relaxation.

Uncorrected formation energy: -1.4872 eV/atom
Space-group type: P2/m (10)

a b c (Å): 7.133 3.991 7.190
angles (deg): 90.00 108.36 90.00
Sites, in units of the cell vectors:
Tb  0.233  0.000  0.225
Tb  0.253  0.500  0.769
Tb  0.747  0.500  0.231
Tb  0.767  0.000  0.775
Tl  0.500  0.500  0.500
Se  0.000  0.000  0.500
S  0.000  0.500  0.000
S  0.500  0.000  0.000

***

A plane-wave DFT calculation with PBE was carried out for NaNpZnN3 after structural relaxation.

Uncorrected formation energy: -0.4965 eV/atom
Space-group type: P2_1/m (11)

a b c (Å): 6.034 3.508 8.386
angles (deg): 90.00 102.44 90.00
Sites, in units of the cell vectors:
Na  0.121  0.250  0.183
Na  0.879  0.750  0.817
Np  0.379  0.250  0.823
Np  0.621  0.750  0.177
Zn  0.177  0.750  0.542
Zn  0.823  0.250  0.458
N  0.056  0.250  0.665
N  0.314  0.750  0.977
N  0.472  0.750  0.702
N  0.528  0.250  0.298
N  0.686  0.250  0.023
N  0.944  0.750  0.335

***

A plane-wave DFT calculation with PBE was carried out for ZnTeSI2 after structural relaxation.

Uncorrected formation energy: 0.5950 eV/atom
Space-group type: P4/mmm (123)
ΔE to the lowest computed polymorph: 108 meV/atom

a b c (Å): 5.464 5.464 5.462
angles (deg): 90.00 90.00 90.00
Sites, in units of the cell vectors:
Zn  0.000  0.000  0.000
Te  0.000  0.000  0.500
S  0.500  0.500  0.500
I  0.000  0.500  0.000
I  0.500  0.000  0.000

***

A plane-wave DFT calculation with PBE was carried out for La2Nd8Zn after structural relaxation.

Space-group type: C2/m (12)
Calculated formation energy: 0.049 eV/atom
ΔE to the lowest computed polymorph: 57 meV/atom

a b c (Å): 9.539 9.539 7.534
angles (deg): 107.41 107.41 34.87
Sites, in units of the cell vectors:
La  0.184  0.184  0.171
La  0.816  0.816  0.829
Nd  0.014  0.014  0.279
Nd  0.185  0.185  0.732
Nd  0.343  0.343  0.558
Nd  0.400  0.400  0.077
Nd  0.600  0.600  0.923
Nd  0.657  0.657  0.442
Nd  0.815  0.815  0.268
Nd  0.986  0.986  0.721
Zn  0.500  0.500  0.500

***

A plane-wave DFT calculation with PBE was carried out for Ni3Ir after structural relaxation.

Space-group type: R-3m (166)
Calculated formation energy: 0.067 eV/atom

a b c (Å): 2.616 2.616 24.623
angles (deg): 90.00 90.00 120.00
Sites, in units of the cell vectors:
Ni  0.000  0.000  0.000
Ni  0.000  0.000  0.253
Ni  0.000  0.000  0.747
Ni  0.333  0.667  0.414
Ni  0.333  0.667  0.667
Ni  0.333  0.667  0.920
Ni  0.667  0.333  0.080
Ni  0.667  0.333  0.333
Ni  0.667  0.333  0.586
Ir  0.000  0.000  0.500
Ir  0.333  0.667  0.167
Ir  0.667  0.333  0.833

***

A plane-wave DFT calculation with PBE was carried out for Tb2Er2Th15 after structural relaxation.

Space-group type: R-3m (166)
Calculated formation energy: 0.292 eV/atom

a b c (Å): 8.749 8.749 8.749
angles (deg): 81.20 81.20 81.20
Sites, in units of the cell vectors:
Tb  0.186  0.186  0.186
Tb  0.814  0.814  0.814
Er  0.402  0.402  0.402
Er  0.598  0.598  0.598
Th  0.000  0.500  0.500
Th  0.142  0.142  0.656
Th  0.142  0.656  0.142
Th  0.201  0.500  0.799
Th  0.201  0.799  0.500
Th  0.344  0.858  0.858
Th  0.500  0.000  0.500
Th  0.500  0.201  0.799
Th  0.500  0.500  0.000
Th  0.500  0.799  0.201
Th  0.656  0.142  0.142
Th  0.799  0.201  0.500
Th  0.799  0.500  0.201
Th  0.858  0.344  0.858
Th  0.858  0.858  0.344

***

A plane-wave DFT calculation with PBE was carried out for Er2Si3Ru5 after structural relaxation.

Uncorrected formation energy: -0.6246 eV/atom
Space-group type: Cmc2_1 (36)

a b c (Å): 12.292 12.292 6.313
angles (deg): 90.00 90.00 160.72
Sites, in units of the cell vectors:
Er  0.016  0.984  0.500
Er  0.324  0.676  0.486
Er  0.676  0.324  0.986
Er  0.984  0.016  0.000
Si  0.111  0.889  0.747
Si  0.273  0.727  0.979
Si  0.447  0.553  0.715
Si  0.553  0.447  0.215
Si  0.727  0.273  0.479
Si  0.889  0.111  0.247
Ru  0.100  0.900  0.147
Ru  0.207  0.793  0.269
Ru  0.208  0.792  0.686
Ru  0.372  0.628  0.990
Ru  0.444  0.556  0.331
Ru  0.556  0.444  0.831
Ru  0.628  0.372  0.490
Ru  0.792  0.208  0.186
Ru  0.793  0.207  0.769
Ru  0.900  0.100  0.647

***

A plane-wave DFT calculation with PBE was carried out for GaAg2TeS4 after structural relaxation.

Uncorrected formation energy: -0.1486 eV/atom
Space-group type: P1 (1)

a b c (Å): 5.628 6.290 6.616
angles (deg): 108.97 109.94 98.76
Sites, in units of the cell vectors:
Ga  0.000  0.000  0.000
Ag  0.254  0.716  0.447
Ag  0.377  0.540  0.038
Te  0.931  0.224  0.542
S  0.135  0.717  0.788
S  0.343  0.323  0.278
S  0.676  0.091  0.734
S  0.854  0.825  0.218

***

A plane-wave DFT calculation with PBE was carried out for ErZn4Pb after structural relaxation.

Space-group type: F-43m (216)
Calculated formation energy: -0.118 eV/atom

a b c (Å): 5.510 5.510 5.510
angles (deg): 60.00 60.00 60.00
Sites, in units of the cell vectors:
Er  0.000  0.000  0.000
Zn  0.122  0.626  0.626
Zn  0.626  0.122  0.626
Zn  0.626  0.626  0.122
Zn  0.626  0.626  0.626
Pb  0.250  0.250  0.250

***

A plane-wave DFT calculation with PBE was carried out for Cd2SnBi after structural relaxation.

Space-group type: P-1 (2)
Calculated formation energy: 0.074 eV/atom
ΔE to the lowest computed polymorph: 23 meV/atom

a b c (Å): 3.476 3.696 9.267
angles (deg): 96.54 94.03 110.36
Sites, in units of the cell vectors:
Cd  0.242  0.496  0.240
Cd  0.758  0.504  0.760
Sn  0.500  0.000  0.000
Bi  0.000  0.000  0.500

***

A plane-wave DFT calculation with PBE was carried out for CoNi2Sb after structural relaxation.

Uncorrected formation energy: 0.2064 eV/atom
Space-group type: P2/m (10)

a b c (Å): 2.967 4.331 4.283
angles (deg): 90.00 91.80 90.00
Sites, in units of the cell vectors:
Co  0.000  0.000  0.000
Ni  0.245  0.500  0.765
Ni  0.755  0.500  0.235
Sb  0.500  0.000  0.500

***

A plane-wave DFT calculation with PBE was carried out for Ba4LiPm3S8 after structural relaxation.

Uncorrected formation energy: -1.9540 eV/atom
Space-group type: R-3m (166)

a b c (Å): 8.616 8.616 8.616
angles (deg): 58.80 58.80 58.80
Sites, in units of the cell vectors:
Ba  0.000  0.000  0.000
Ba  0.000  0.500  0.500
Ba  0.500  0.000  0.500
Ba  0.500  0.500  0.000
Li  0.500  0.500  0.500
Pm  0.000  0.000  0.500
Pm  0.000  0.500  0.000
Pm  0.500  0.000  0.000
S  0.235  0.741  0.741
S  0.239  0.239  0.239
S  0.259  0.259  0.765
S  0.259  0.765  0.259
S  0.741  0.235  0.741
S  0.741  0.741  0.235
S  0.761  0.761  0.761
S  0.765  0.259  0.259

***

A plane-wave DFT calculation with PBE was carried out for RbTiW3 after structural relaxation.

Space-group type: Pm-3m (221)
Calculated formation energy: 3.685 eV/atom
ΔE to the lowest computed polymorph: 1301 meV/atom

a b c (Å): 4.677 4.677 4.677
angles (deg): 90.00 90.00 90.00
Sites, in units of the cell vectors:
Rb  0.000  0.000  0.000
Ti  0.500  0.500  0.500
W  0.000  0.000  0.500
W  0.000  0.500  0.000
W  0.500  0.000  0.000

***

A plane-wave DFT calculation with PBE was carried out for ZrHgSb2 after structural relaxation.

Uncorrected formation energy: -0.1742 eV/atom
Space-group type: R-3m (166)

a b c (Å): 3.328 3.328 34.975
angles (deg): 90.00 90.00 120.00
Sites, in units of the cell vectors:
Zr  0.000  0.000  0.000
Zr  0.333  0.667  0.667
Zr  0.667  0.333  0.333
Hg  0.000  0.000  0.500
Hg  0.333  0.667  0.167
Hg  0.667  0.333  0.833
Sb  0.000  0.000  0.265
Sb  0.000  0.000  0.735
Sb  0.333  0.667  0.402
Sb  0.333  0.667  0.931
Sb  0.667  0.333  0.069
Sb  0.667  0.333  0.598

***

A plane-wave DFT calculation with PBE was carried out for Tc2AsPb after structural relaxation.

Space-group type: C2/m (12)
Calculated formation energy: 0.329 eV/atom
ΔE to the lowest computed polymorph: 191 meV/atom

a b c (Å): 7.974 3.147 5.976
angles (deg): 90.00 104.03 90.00
Sites, in units of the cell vectors:
Tc  0.238  0.000  0.185
Tc  0.262  0.500  0.815
Tc  0.738  0.500  0.185
Tc  0.762  0.000  0.815
As  0.000  0.500  0.000
As  0.500  0.000  0.000
Pb  0.000  0.000  0.500
Pb  0.500  0.500  0.500

***

A plane-wave DFT calculation with PBE was carried out for MnCd2Hg after structural relaxation.

Space-group type: P2/m (10)
Calculated formation energy: 0.219 eV/atom

a b c (Å): 3.372 3.607 6.692
angles (deg): 90.00 90.19 90.00
Sites, in units of the cell vectors:
Mn  0.000  0.000  0.000
Cd  0.499  0.500  0.773
Cd  0.501  0.500  0.227
Hg  0.000  0.000  0.500

***

A plane-wave DFT calculation with PBE was carried out for Ho4ScIn after structural relaxation.

Space-group type: C2/m (12)
Calculated formation energy: 0.312 eV/atom
ΔE to the lowest computed polymorph: 293 meV/atom

a b c (Å): 8.921 5.152 9.113
angles (deg): 90.00 109.12 90.00
Sites, in units of the cell vectors:
Ho  0.122  0.000  0.368
Ho  0.126  0.500  0.879
Ho  0.374  0.000  0.121
Ho  0.378  0.500  0.632
Ho  0.622  0.500  0.368
Ho  0.626  0.000  0.879
Ho  0.874  0.500  0.121
Ho  0.878  0.000  0.632
Sc  0.000  0.000  0.000
Sc  0.500  0.500  0.000
In  0.000  0.500  0.500
In  0.500  0.000  0.500

***

A plane-wave DFT calculation with PBE was carried out for DyYTm5 after structural relaxation.

Space-group type: C2/c (15)
Calculated formation energy: 0.197 eV/atom
ΔE to the lowest computed polymorph: 0 meV/atom

a b c (Å): 6.659 6.659 12.010
angles (deg): 106.71 106.71 60.27
Sites, in units of the cell vectors:
Dy  0.026  0.974  0.750
Dy  0.974  0.026  0.250
Y  0.000  0.500  0.000
Y  0.500  0.000  0.500
Tm  0.137  0.421  0.750
Tm  0.194  0.651  0.500
Tm  0.349  0.806  0.000
Tm  0.417  0.583  0.250
Tm  0.421  0.137  0.250
Tm  0.579  0.863  0.750
Tm  0.583  0.417  0.750
Tm  0.651  0.194  0.000
Tm  0.806  0.349  0.500
Tm  0.863  0.579  0.250